Record 1
Here is a geometry-optimized Ho2AlGa4Pd3 structure from the Alexandria database. Energies are from PBE.

a = 4.026 Å, b = 4.026 Å, c = 11.449 Å
α = 90.00°, β = 90.00°, γ = 90.00°
Space group P-4m2 (No. 115)
Asymmetric unit:
1 Ho 0.000 0.500 0.250 [2 per cell]
2 Al 0.000 0.000 0.500 [1 per cell]
3 Ga 0.000 0.000 0.000 [1 per cell]
4 Ga 0.000 0.500 0.642 [2 per cell]
5 Ga 0.500 0.500 0.000 [1 per cell]
6 Pd 0.000 0.500 0.858 [2 per cell]
7 Pd 0.500 0.500 0.500 [1 per cell]

## Properties
* final energy: -4.796 eV/atom

=====

Record 2
Here is a geometry-optimized CrGaI3 structure from the Alexandria database. Energies are from PBE.

a = 5.620 Å, b = 5.620 Å, c = 5.620 Å
α = 90.00°, β = 90.00°, γ = 90.00°
Space group Pm-3m (No. 221)
Asymmetric unit:
1 Cr 0.000 0.000 0.000 [1 per cell]
2 Ga 0.500 0.500 0.500 [1 per cell]
3 I 0.000 0.000 0.500 [3 per cell]

## Properties
* energy relative to the elements, uncorrected: -0.1703 eV per atom

=====

Record 3
Here is a geometry-optimized GaPbBrF2 structure from the Alexandria database. Energies are from PBE.

a = 4.216 Å, b = 4.216 Å, c = 5.785 Å
α = 90.00°, β = 90.00°, γ = 90.00°
Space group P4/mmm (No. 123)
Asymmetric unit:
1 Ga 0.000 0.000 0.000 [1 per cell]
2 Pb 0.000 0.000 0.500 [1 per cell]
3 Br 0.500 0.500 0.500 [1 per cell]
4 F 0.000 0.500 0.000 [2 per cell]

## Properties
* energy relative to the elements, uncorrected: -1.4150 eV per atom

=====

Record 4
Here is a geometry-optimized Dy3Y3TmSe8 structure from the Alexandria database. Energies are from PBE.

a = 8.1253 Å, b = 8.1253 Å, c = 19.9158 Å
α = 90.00°, β = 90.00°, γ = 120.00°
Space group R-3m (No. 166, hexagonal axes)
Asymmetric unit:
1 Dy 0.0000 0.5000 0.0000 [9 per cell]
2 Y 0.0000 0.5000 0.5000 [9 per cell]
3 Tm 0.0000 0.0000 0.0000 [3 per cell]
4 Se 0.0000 0.0000 0.2503 [6 per cell]
5 Se 0.0012 0.5006 0.2501 [18 per cell]

## Properties
* energy relative to the elements, uncorrected: -1.8327 eV per atom

=====

Record 5
Here is a geometry-optimized ZnSiMo2 structure from the Alexandria database. Energies are from PBE.

a = 6.134 Å, b = 6.134 Å, c = 6.134 Å
α = 90.00°, β = 90.00°, γ = 90.00°
Space group Fm-3m (No. 225)
Asymmetric unit:
1 Zn 0.000 0.000 0.000 [4 per cell]
2 Si 0.000 0.000 0.500 [4 per cell]
3 Mo 0.250 0.250 0.250 [8 per cell]

## Properties
* energy relative to the elements, uncorrected: 0.1225 eV per atom

=====

Record 6
Here is a geometry-optimized Zr3Tl2Cu2Se8 structure from the Alexandria database. Energies are from PBE.

a = 15.260 Å, b = 3.857 Å, c = 14.450 Å
α = 90.00°, β = 113.25°, γ = 90.00°
Space group C2/m (No. 12)
Asymmetric unit:
1 Zr 0.000 0.000 0.000 [2 per cell]
2 Zr 0.163 0.000 0.376 [4 per cell]
3 Tl 0.151 0.000 0.784 [4 per cell]
4 Cu 0.055 0.500 0.198 [4 per cell]
5 Se 0.031 0.500 0.354 [4 per cell]
6 Se 0.097 0.500 0.946 [4 per cell]
7 Se 0.152 0.000 0.184 [4 per cell]
8 Se 0.200 0.000 0.579 [4 per cell]

## Properties
* energy relative to the elements, uncorrected: -0.9728 eV per atom